# 1
{
  "formula": "K3TcO3",
  "functional": "PBE",
  "state": "optimized geometry",
  "raw_formation_energy_ev_per_atom": -1.361,
  "lattice_angstrom": [[-5.355, -0.355, -1.758], [0.651, -7.369, -0.498], [-2.315, 0.803, 6.891]],
  "species": ["K", "K", "K", "K", "K", "K", "Tc", "Tc", "O", "O", "O", "O", "O", "O"],
  "frac_coords": [[0.750, 0.585, 0.823], [0.750, 0.093, 0.879], [0.750, 0.194, 0.403], [0.250, 0.415, 0.177], [0.250, 0.907, 0.121], [0.250, 0.806, 0.597], [0.250, 0.292, 0.699], [0.750, 0.708, 0.301], [0.250, 0.540, 0.803], [0.250, 0.128, 0.862], [0.250, 0.201, 0.444], [0.750, 0.460, 0.197], [0.750, 0.872, 0.138], [0.750, 0.799, 0.556]]
}

# 2
{
  "formula": "KTcO2",
  "functional": "PBE",
  "state": "optimized geometry",
  "raw_formation_energy_ev_per_atom": -0.997,
  "lattice_angstrom": [[-1.290, 7.273, -0.381], [0.363, 7.017, 2.311], [1.875, 7.140, -0.472]],
  "species": ["K", "Tc", "O", "O"],
  "frac_coords": [[0.500, 0.500, 0.500], [0.000, 0.000, 0.000], [0.918, 0.918, 0.918], [0.082, 0.082, 0.082]]
}

# 3
{
  "formula": "K2Tc2O7",
  "functional": "PBE",
  "state": "optimized geometry",
  "raw_formation_energy_ev_per_atom": -1.571,
  "lattice_angstrom": [[-4.741, -2.933, 0.433], [2.691, -3.619, -4.913], [2.729, -2.114, 5.706]],
  "species": ["K", "K", "Tc", "Tc", "O", "O", "O", "O", "O", "O", "O"],
  "frac_coords": [[0.000, 0.308, 0.692], [0.000, 0.692, 0.308], [0.414, 0.215, 0.215], [0.586, 0.785, 0.785], [0.759, 0.906, 0.635], [0.241, 0.365, 0.094], [0.241, 0.094, 0.365], [0.759, 0.635, 0.906], [0.500, 0.000, 0.000], [0.310, 0.633, 0.633], [0.690, 0.367, 0.367]]
}

# 4
{
  "formula": "KTc2O8",
  "functional": "PBE",
  "state": "optimized geometry",
  "raw_formation_energy_ev_per_atom": -1.310,
  "lattice_angstrom": [[-2.667, -1.521, 6.704], [4.289, -0.864, 3.627], [-1.021, 4.835, 2.808]],
  "species": ["K", "Tc", "Tc", "O", "O", "O", "O", "O", "O", "O", "O"],
  "frac_coords": [[0.000, 0.000, 0.000], [0.673, 0.683, 0.683], [0.327, 0.317, 0.317], [0.196, 0.486, 0.128], [0.804, 0.872, 0.514], [0.424, 0.863, 0.863], [0.576, 0.137, 0.137], [0.196, 0.128, 0.486], [0.804, 0.514, 0.872], [0.661, 0.471, 0.471], [0.339, 0.529, 0.529]]
}

# 5
{
  "formula": "KTcO6",
  "functional": "PBE",
  "state": "optimized geometry",
  "raw_formation_energy_ev_per_atom": -0.411,
  "lattice_angstrom": [[-3.064, 0.073, -4.000], [4.041, -1.583, -2.561], [-1.383, -4.595, 1.538]],
  "species": ["K", "Tc", "O", "O", "O", "O", "O", "O"],
  "frac_coords": [[0.000, 0.000, 0.000], [0.500, 0.500, 0.500], [0.243, 0.596, 0.243], [0.243, 0.243, 0.596], [0.757, 0.404, 0.757], [0.404, 0.757, 0.757], [0.757, 0.757, 0.404], [0.596, 0.243, 0.243]]
}

# 6
{
  "formula": "KTcO4",
  "functional": "PBE",
  "state": "optimized geometry",
  "raw_formation_energy_ev_per_atom": -1.692,
  "lattice_angstrom": [[7.715, 0.003, 0.000], [3.382, 6.935, 0.000], [-5.549, -3.469, 4.087]],
  "species": ["K", "K", "Tc", "Tc", "O", "O", "O", "O", "O", "O", "O", "O"],
  "frac_coords": [[0.500, 0.500, 0.000], [0.250, 0.750, 0.500], [0.000, 0.000, 0.000], [0.750, 0.250, 0.500], [0.703, 0.036, 0.891], [0.786, 0.395, 0.833], [0.562, 0.953, 0.167], [0.145, 0.812, 0.109], [0.605, 0.438, 0.391], [0.188, 0.297, 0.333], [0.964, 0.855, 0.667], [0.047, 0.214, 0.609]]
}

# 7
{
  "formula": "K2TcO",
  "functional": "PBE",
  "state": "optimized geometry",
  "raw_formation_energy_ev_per_atom": -0.168,
  "lattice_angstrom": [[11.715, 0.000, 0.000], [0.000, 11.715, 0.000], [5.857, 5.857, 1.889]],
  "species": ["K", "K", "K", "K", "Tc", "Tc", "O", "O"],
  "frac_coords": [[0.420, 0.125, 0.250], [0.330, 0.625, 0.250], [0.375, 0.580, 0.750], [0.875, 0.670, 0.750], [0.000, 0.000, 0.000], [0.750, 0.250, 0.500], [0.500, 0.500, 0.000], [0.250, 0.750, 0.500]]
}

# 8
{
  "formula": "K2TcO5",
  "functional": "PBE",
  "state": "optimized geometry",
  "raw_formation_energy_ev_per_atom": -1.387,
  "lattice_angstrom": [[6.026, 0.153, 0.218], [-2.834, 5.321, -0.218], [-2.834, -2.015, 4.929]],
  "species": ["K", "K", "Tc", "O", "O", "O", "O", "O"],
  "frac_coords": [[0.500, 0.266, 0.766], [0.500, 0.766, 0.266], [0.000, 0.040, 0.040], [0.608, 0.777, 0.777], [0.000, 0.777, 0.170], [0.000, 0.170, 0.777], [0.392, 0.170, 0.170], [0.000, 0.255, 0.255]]
}

# 9
{
  "formula": "K2TcO4",
  "functional": "PBE",
  "state": "optimized geometry",
  "raw_formation_energy_ev_per_atom": -1.640,
  "lattice_angstrom": [[-2.421, -0.577, 5.186], [3.732, -5.014, 1.184], [6.037, 4.730, 0.999]],
  "species": ["K", "K", "K", "K", "Tc", "Tc", "O", "O", "O", "O", "O", "O", "O", "O"],
  "frac_coords": [[0.282, 0.250, 0.979], [0.718, 0.750, 0.021], [0.407, 0.750, 0.387], [0.593, 0.250, 0.613], [0.880, 0.250, 0.239], [0.120, 0.750, 0.761], [0.744, 0.478, 0.306], [0.795, 0.250, 0.995], [0.205, 0.750, 0.005], [0.744, 0.022, 0.306], [0.797, 0.750, 0.691], [0.256, 0.978, 0.694], [0.256, 0.522, 0.694], [0.203, 0.250, 0.309]]
}

# 10
{
  "formula": "K3TcO4",
  "functional": "PBE",
  "state": "optimized geometry",
  "raw_formation_energy_ev_per_atom": -1.542,
  "lattice_angstrom": [[-3.157, -0.483, -4.867], [1.680, -6.024, -0.492], [-7.104, -2.377, 4.844]],
  "species": ["K", "K", "K", "K", "K", "K", "Tc", "Tc", "O", "O", "O", "O", "O", "O", "O", "O"],
  "frac_coords": [[0.558, 0.800, 0.000], [0.022, 0.692, 0.245], [0.522, 0.308, 0.255], [0.058, 0.200, 0.500], [0.522, 0.308, 0.745], [0.022, 0.692, 0.755], [0.987, 0.212, 0.000], [0.487, 0.788, 0.500], [0.030, 0.923, 0.000], [0.747, 0.403, 0.000], [0.075, 0.262, 0.195], [0.575, 0.738, 0.305], [0.247, 0.597, 0.500], [0.530, 0.077, 0.500], [0.575, 0.738, 0.695], [0.075, 0.262, 0.805]]
}

# 11
{
  "formula": "KTc4O12",
  "functional": "PBE",
  "state": "optimized geometry",
  "raw_formation_energy_ev_per_atom": -1.372,
  "lattice_angstrom": [[-2.222, 3.691, 5.030], [5.335, -3.406, 1.949], [1.625, 3.933, -5.075]],
  "species": ["K", "Tc", "Tc", "Tc", "Tc", "O", "O", "O", "O", "O", "O", "O", "O", "O", "O", "O", "O"],
  "frac_coords": [[0.000, 0.000, 0.000], [0.000, 0.500, 0.000], [0.500, 0.000, 0.000], [0.500, 0.500, 0.500], [0.000, 0.000, 0.500], [0.750, 0.250, 0.001], [0.250, 0.500, 0.250], [0.999, 0.250, 0.750], [0.250, 0.001, 0.750], [0.001, 0.750, 0.250], [0.750, 0.500, 0.750], [0.500, 0.250, 0.250], [0.500, 0.750, 0.750], [0.750, 0.999, 0.250], [0.750, 0.750, 0.500], [0.250, 0.250, 0.500], [0.250, 0.750, 0.999]]
}

# 12
{
  "formula": "KTcO4",
  "functional": "PBE",
  "state": "optimized geometry",
  "raw_formation_energy_ev_per_atom": -1.681,
  "lattice_angstrom": [[7.657, 0.147, 0.000], [-1.949, 7.496, 0.000], [0.000, 0.000, 8.051]],
  "species": ["K", "K", "K", "K", "Tc", "Tc", "Tc", "Tc", "O", "O", "O", "O", "O", "O", "O", "O", "O", "O", "O", "O", "O", "O", "O", "O"],
  "frac_coords": [[0.400, 0.227, 0.850], [0.100, 0.273, 0.350], [0.900, 0.727, 0.650], [0.600, 0.773, 0.150], [0.884, 0.194, 0.838], [0.616, 0.306, 0.338], [0.384, 0.694, 0.662], [0.116, 0.806, 0.162], [0.701, 0.027, 0.899], [0.983, 0.121, 0.665], [0.697, 0.120, 0.289], [0.457, 0.258, 0.497], [0.803, 0.380, 0.789], [0.043, 0.242, 0.997], [0.517, 0.379, 0.165], [0.799, 0.473, 0.399], [0.201, 0.527, 0.601], [0.483, 0.621, 0.835], [0.957, 0.758, 0.003], [0.197, 0.620, 0.211], [0.543, 0.742, 0.503], [0.303, 0.880, 0.711], [0.017, 0.879, 0.335], [0.299, 0.973, 0.101]]
}

# 13
{
  "formula": "K5TcO5",
  "functional": "PBE",
  "state": "optimized geometry",
  "raw_formation_energy_ev_per_atom": -1.249,
  "lattice_angstrom": [[5.045, 0.000, 0.000], [-2.522, 5.945, -0.012], [0.000, -2.242, 6.787]],
  "species": ["K", "K", "K", "K", "K", "Tc", "O", "O", "O", "O", "O"],
  "frac_coords": [[0.682, 0.365, 0.303], [0.672, 0.345, 0.849], [0.000, 0.000, 0.500], [0.328, 0.655, 0.151], [0.318, 0.635, 0.697], [0.000, 0.000, 0.000], [0.880, 0.759, 0.132], [0.875, 0.749, 0.739], [0.500, 0.000, 0.000], [0.125, 0.251, 0.261], [0.120, 0.241, 0.868]]
}

# 14
{
  "formula": "K2TcO3",
  "functional": "PBE",
  "state": "optimized geometry",
  "raw_formation_energy_ev_per_atom": -1.414,
  "lattice_angstrom": [[5.467, 0.000, 0.551], [2.734, 6.048, 0.276], [0.290, 0.000, 12.861]],
  "species": ["K", "K", "K", "K", "K", "K", "K", "K", "Tc", "Tc", "Tc", "Tc", "O", "O", "O", "O", "O", "O", "O", "O", "O", "O", "O", "O"],
  "frac_coords": [[0.584, 0.403, 0.359], [0.012, 0.403, 0.141], [0.416, 0.597, 0.641], [0.988, 0.597, 0.859], [0.348, 0.766, 0.074], [0.886, 0.766, 0.426], [0.652, 0.234, 0.926], [0.114, 0.234, 0.574], [0.693, 0.008, 0.179], [0.298, 0.008, 0.321], [0.307, 0.992, 0.821], [0.702, 0.992, 0.679], [0.623, 0.755, 0.250], [0.377, 0.245, 0.750], [0.558, 0.305, 0.146], [0.137, 0.305, 0.354], [0.442, 0.695, 0.854], [0.863, 0.695, 0.646], [0.649, 0.163, 0.559], [0.188, 0.163, 0.941], [0.351, 0.837, 0.441], [0.812, 0.837, 0.059], [0.005, 0.991, 0.250], [0.995, 0.009, 0.750]]
}

# 15
{
  "formula": "K8TcO6",
  "functional": "PBE",
  "state": "optimized geometry",
  "raw_formation_energy_ev_per_atom": -1.190,
  "lattice_angstrom": [[-0.432, 6.441, -4.290], [3.724, -3.426, -5.519], [-12.036, -4.398, -5.391]],
  "species": ["K", "K", "K", "K", "K", "K", "K", "K", "K", "K", "K", "K", "K", "K", "K", "K", "Tc", "Tc", "O", "O", "O", "O", "O", "O", "O", "O", "O", "O", "O", "O"],
  "frac_coords": [[0.609, 0.000, 0.972], [0.391, 0.500, 0.472], [0.072, 0.763, 0.124], [0.928, 0.737, 0.624], [0.928, 0.263, 0.624], [0.072, 0.237, 0.124], [0.415, 0.754, 0.716], [0.585, 0.746, 0.216], [0.585, 0.254, 0.216], [0.415, 0.246, 0.716], [0.059, 0.791, 0.872], [0.941, 0.709, 0.372], [0.941, 0.291, 0.372], [0.059, 0.209, 0.872], [0.229, 0.000, 0.530], [0.771, 0.500, 0.030], [0.652, 0.000, 0.477], [0.348, 0.500, 0.977], [0.930, 0.000, 0.010], [0.070, 0.500, 0.510], [0.174, 0.000, 0.718], [0.826, 0.500, 0.218], [0.892, 0.000, 0.498], [0.108, 0.500, 0.998], [0.661, 0.000, 0.343], [0.339, 0.500, 0.843], [0.443, 0.701, 0.032], [0.557, 0.799, 0.532], [0.557, 0.201, 0.532], [0.443, 0.299, 0.032]]
}

# 16
{
  "formula": "KTcO2",
  "functional": "PBE",
  "state": "optimized geometry",
  "raw_formation_energy_ev_per_atom": -0.953,
  "lattice_angstrom": [[-3.246, 3.246, 6.218], [3.246, -3.246, 6.218], [3.246, 3.246, -6.218]],
  "species": ["K", "K", "K", "K", "Tc", "Tc", "Tc", "Tc", "O", "O", "O", "O", "O", "O", "O", "O"],
  "frac_coords": [[0.375, 0.625, 0.250], [0.375, 0.125, 0.750], [0.375, 0.625, 0.750], [0.875, 0.625, 0.250], [0.875, 0.125, 0.250], [0.875, 0.625, 0.750], [0.875, 0.125, 0.750], [0.375, 0.125, 0.250], [0.083, 0.393, 0.691], [0.702, 0.393, 0.309], [0.143, 0.952, 0.809], [0.667, 0.857, 0.809], [0.143, 0.333, 0.191], [0.048, 0.857, 0.191], [0.607, 0.298, 0.691], [0.607, 0.917, 0.309]]
}

# 17
{
  "formula": "KTcO2",
  "functional": "PBE",
  "state": "optimized geometry",
  "raw_formation_energy_ev_per_atom": -0.805,
  "lattice_angstrom": [[1.685, 0.000, 7.293], [-0.842, 1.459, 7.293], [-0.842, -1.459, 7.293]],
  "species": ["K", "Tc", "O", "O"],
  "frac_coords": [[0.000, 0.000, 0.000], [0.500, 0.500, 0.500], [0.892, 0.892, 0.892], [0.108, 0.108, 0.108]]
}

# 18
{
  "formula": "K2TcO5",
  "functional": "PBE",
  "state": "optimized geometry",
  "raw_formation_energy_ev_per_atom": -1.436,
  "lattice_angstrom": [[5.708, 0.332, -2.846], [-2.427, 5.177, -2.846], [-0.542, -0.910, 6.551]],
  "species": ["K", "K", "Tc", "O", "O", "O", "O", "O"],
  "frac_coords": [[0.822, 0.271, 0.504], [0.271, 0.822, 0.504], [0.010, 0.010, 0.966], [0.243, 0.869, 0.079], [0.687, 0.687, 0.623], [0.180, 0.180, 0.390], [0.869, 0.243, 0.079], [0.142, 0.142, 0.856]]
}

# 19
{
  "formula": "K2TcO4",
  "functional": "PBE",
  "state": "optimized geometry",
  "raw_formation_energy_ev_per_atom": -1.566,
  "lattice_angstrom": [[-3.034, 1.789, 1.789], [-1.789, -3.493, 0.458], [0.645, -1.635, 7.090]],
  "species": ["K", "K", "Tc", "O", "O", "O", "O"],
  "frac_coords": [[0.348, 0.348, 0.304], [0.652, 0.652, 0.696], [0.000, 0.000, 0.000], [0.138, 0.138, 0.724], [0.862, 0.862, 0.276], [0.000, 0.500, 0.000], [0.500, 0.000, 0.000]]
}

# 20
{
  "formula": "KTcO2",
  "functional": "PBE",
  "state": "optimized geometry",
  "raw_formation_energy_ev_per_atom": -0.021,
  "lattice_angstrom": [[0.000, 2.848, 2.848], [2.848, 0.000, 2.848], [2.848, 2.848, 0.000]],
  "species": ["K", "Tc", "O", "O"],
  "frac_coords": [[0.000, 0.000, 0.000], [0.500, 0.500, 0.500], [0.250, 0.250, 0.250], [0.750, 0.750, 0.750]]
}